Density functional theory data (SCAN) for a PBEsol-optimized structure of Cr2WCl.

a = 3.983 Å, b = 4.513 Å, c = 3.983 Å
α = 63.81°, β = 90.00°, γ = 116.19°
Each line ends with the local moment (μB).
Fractional positions:
Cr 0.250 0.500 0.250  2.86
Cr 0.750 0.500 0.750  2.86
Cl 0.000 0.000 0.000  0.06
W 0.500 0.000 0.500  -1.22

Properties
Energy above the most stable polymorph in this dataset = 518 meV per atom
SG = I4/mmm, No. 139
M_tot = 4.65 μB per formula unit
V = 55.94 Å³/cell
Uncorrected formation energy = 1.031 eV per atom